Run i
A geometry-optimized Ce6BiOs2 structure, computed with GGA-PBE.

## Properties
Crystal system = monoclinic
M_tot = 2.79 μB per cell

The structure in CIF format:
```
data_Ce6BiOs2
_symmetry_space_group_name_H-M 'C 1 2/m 1'
_symmetry_Int_Tables_number 12
_cell_length_a 10.7622
_cell_length_b 4.6634
_cell_length_c 9.1872
_cell_angle_alpha 90.00
_cell_angle_beta 92.51
_cell_angle_gamma 90.00
loop_
_symmetry_equiv_pos_as_xyz
'x,y,z'
'-x,-y,-z'
'-x,y,-z'
'x,-y,z'
'x+1/2,y+1/2,z'
'-x+1/2,-y+1/2,-z'
'-x+1/2,y+1/2,-z'
'x+1/2,-y+1/2,z'
loop_
_atom_site_label
_atom_site_type_symbol
_atom_site_fract_x
_atom_site_fract_y
_atom_site_fract_z
_atom_site_occupancy
Ce1 Ce 0.0787 0.0000 0.3631 1
Ce2 Ce 0.0949 0.5000 0.6677 1
Ce3 Ce 0.2123 0.5000 0.1079 1
Bi1 Bi 0.0000 0.0000 0.0000 1
Os1 Os 0.2429 0.5000 0.3870 1
```

=====

Run ii
A geometry-optimized Ce6BiOs2 structure, computed with GGA-PBE.

## Properties
Crystal system = monoclinic
M_tot = 5.79 μB per cell

The structure in CIF format:
```
data_Ce6BiOs2
_symmetry_space_group_name_H-M 'C 1 2/c 1'
_symmetry_Int_Tables_number 15
_cell_length_a 15.5451
_cell_length_b 10.2762
_cell_length_c 6.3891
_cell_angle_alpha 90.00
_cell_angle_beta 113.21
_cell_angle_gamma 90.00
loop_
_symmetry_equiv_pos_as_xyz
'x,y,z'
'-x,-y,-z'
'-x,y,-z+1/2'
'x,-y,z+1/2'
'x+1/2,y+1/2,z'
'-x+1/2,-y+1/2,-z'
'-x+1/2,y+1/2,-z+1/2'
'x+1/2,-y+1/2,z+1/2'
loop_
_atom_site_label
_atom_site_type_symbol
_atom_site_fract_x
_atom_site_fract_y
_atom_site_fract_z
_atom_site_occupancy
Ce1 Ce 0.0820 0.0549 0.2028 1
Ce2 Ce 0.0839 0.4562 0.4595 1
Ce3 Ce 0.2396 0.2228 0.7618 1
Bi1 Bi 0.0000 0.2495 0.7500 1
Os1 Os 0.2486 0.0070 0.0920 1
```

=====

Going by the computed energies, the most stable comes first: run i, run ii.

=====

Run i
A geometry-optimized Ce3Bi2P structure, computed with GGA-PBE.

## Properties
Crystal system = monoclinic
M_tot = 10.09 μB per cell

The structure in CIF format:
```
data_Ce3Bi2P
_symmetry_space_group_name_H-M 'C 1 2/c 1'
_symmetry_Int_Tables_number 15
_cell_length_a 7.7637
_cell_length_b 13.2564
_cell_length_c 7.5982
_cell_angle_alpha 90.00
_cell_angle_beta 109.29
_cell_angle_gamma 90.00
loop_
_symmetry_equiv_pos_as_xyz
'x,y,z'
'-x,-y,-z'
'-x,y,-z+1/2'
'x,-y,z+1/2'
'x+1/2,y+1/2,z'
'-x+1/2,-y+1/2,-z'
'-x+1/2,y+1/2,-z+1/2'
'x+1/2,-y+1/2,z+1/2'
loop_
_atom_site_label
_atom_site_type_symbol
_atom_site_fract_x
_atom_site_fract_y
_atom_site_fract_z
_atom_site_occupancy
Ce1 Ce 0.2167 0.0742 0.4953 1
Ce2 Ce 0.2500 0.2500 0.0000 1
Bi1 Bi 0.0000 0.2604 0.2500 1
Bi2 Bi 0.0000 0.4187 0.7500 1
P1 P 0.0000 0.0876 0.7500 1
```

=====

Run ii
A geometry-optimized Ce3Bi2P structure, computed with GGA-PBE.

## Properties
Crystal system = tetragonal
M_tot = 5.07 μB per cell

The structure in CIF format:
```
data_Ce3Bi2P
_symmetry_space_group_name_H-M 'I 4/m m m'
_symmetry_Int_Tables_number 139
_symmetry_space_group_name_Hall '-I 4 2'
_cell_length_a 4.4504
_cell_length_b 4.4504
_cell_length_c 18.7624
_cell_angle_alpha 90.00
_cell_angle_beta 90.00
_cell_angle_gamma 90.00
loop_
_atom_site_label
_atom_site_type_symbol
_atom_site_fract_x
_atom_site_fract_y
_atom_site_fract_z
_atom_site_occupancy
Ce1 Ce 0.0000 0.0000 0.0000 1
Ce2 Ce 0.0000 0.0000 0.3470 1
Bi1 Bi 0.0000 0.0000 0.1715 1
P1 P 0.0000 0.0000 0.5000 1
```

=====

Going by the computed energies, the most stable comes first: run i, run ii.

=====

Run i
A geometry-optimized CePaBi structure, computed with GGA-PBE.

## Properties
Crystal system = orthorhombic
M_tot = 1.21 μB per cell

The structure in CIF format:
```
data_CePaBi
_symmetry_space_group_name_H-M 'P m m a'
_symmetry_Int_Tables_number 51
_cell_length_a 6.2347
_cell_length_b 5.4316
_cell_length_c 5.4785
_cell_angle_alpha 90.00
_cell_angle_beta 90.00
_cell_angle_gamma 90.00
loop_
_symmetry_equiv_pos_as_xyz
'x,y,z'
'-x,-y,-z'
'-x+1/2,-y,z'
'x+1/2,y,-z'
'x+1/2,-y,-z'
'-x+1/2,y,z'
'-x,y,-z'
'x,-y,z'
loop_
_atom_site_label
_atom_site_type_symbol
_atom_site_fract_x
_atom_site_fract_y
_atom_site_fract_z
_atom_site_occupancy
Ce1 Ce 0.0000 0.0000 0.0000 1
Pa1 Pa 0.2500 0.0000 0.4902 1
Bi1 Bi 0.2500 0.5000 0.7932 1
```

=====

Run ii
A geometry-optimized CePaBi structure, computed with GGA-PBE.

## Properties
Crystal system = tetragonal
M_tot = 2.45 μB per cell

The structure in CIF format:
```
data_CePaBi
_symmetry_space_group_name_H-M 'I 4 m m'
_symmetry_Int_Tables_number 107
_symmetry_space_group_name_Hall 'I 4 -2'
_cell_length_a 4.2723
_cell_length_b 4.2723
_cell_length_c 9.4645
_cell_angle_alpha 90.00
_cell_angle_beta 90.00
_cell_angle_gamma 90.00
loop_
_atom_site_label
_atom_site_type_symbol
_atom_site_fract_x
_atom_site_fract_y
_atom_site_fract_z
_atom_site_occupancy
Ce1 Ce 0.0000 0.0000 0.0000 1
Pa1 Pa 0.0000 0.0000 0.7218 1
Bi1 Bi 0.0000 0.0000 0.3615 1
```

=====

Run iii
A geometry-optimized CePaBi structure, computed with GGA-PBE.

## Properties
Crystal system = hexagonal
M_tot = 1.99 μB per cell

The structure in CIF format:
```
data_CePaBi
_symmetry_space_group_name_H-M 'P -6 m 2'
_symmetry_Int_Tables_number 187
_symmetry_space_group_name_Hall 'P -6 2'
_cell_length_a 5.2699
_cell_length_b 5.2699
_cell_length_c 3.3077
_cell_angle_alpha 90.00
_cell_angle_beta 90.00
_cell_angle_gamma 120.00
loop_
_atom_site_label
_atom_site_type_symbol
_atom_site_fract_x
_atom_site_fract_y
_atom_site_fract_z
_atom_site_occupancy
Ce1 Ce 0.0000 0.0000 0.0000 1
Pa1 Pa 0.3333 0.6667 0.0000 1
Bi1 Bi 0.6667 0.3333 0.5000 1
```

=====

Going by the computed energies, the most stable comes first: run ii, run iii, run i.

=====

Run i
A geometry-optimized Ce2Bi4Pb structure, computed with GGA-PBE.

## Properties
Crystal system = monoclinic
M_tot = 2.51 μB per cell

The structure in CIF format:
```
data_Ce2Bi4Pb
_symmetry_space_group_name_H-M 'C 1 2/m 1'
_symmetry_Int_Tables_number 12
_cell_length_a 9.1693
_cell_length_b 10.0003
_cell_length_c 6.7645
_cell_angle_alpha 90.00
_cell_angle_beta 132.45
_cell_angle_gamma 90.00
loop_
_symmetry_equiv_pos_as_xyz
'x,y,z'
'-x,-y,-z'
'-x,y,-z'
'x,-y,z'
'x+1/2,y+1/2,z'
'-x+1/2,-y+1/2,-z'
'-x+1/2,y+1/2,-z'
'x+1/2,-y+1/2,z'
loop_
_atom_site_label
_atom_site_type_symbol
_atom_site_fract_x
_atom_site_fract_y
_atom_site_fract_z
_atom_site_occupancy
Ce1 Ce 0.2500 0.2500 0.0000 1
Bi1 Bi 0.0000 0.0000 0.0000 1
Bi2 Bi 0.0000 0.5000 0.0000 1
Bi3 Bi 0.2500 0.2500 0.5000 1
Pb1 Pb 0.0000 0.0000 0.5000 1
```

=====

Run ii
A geometry-optimized Ce2Bi4Pb structure, computed with GGA-PBE.

## Properties
Crystal system = tetragonal
M_tot = 1.56 μB per cell

The structure in CIF format:
```
data_Ce2Bi4Pb
_symmetry_space_group_name_H-M 'P -4 m 2'
_symmetry_Int_Tables_number 115
_cell_length_a 4.5511
_cell_length_b 4.5511
_cell_length_c 11.4854
_cell_angle_alpha 90.00
_cell_angle_beta 90.00
_cell_angle_gamma 90.00
loop_
_symmetry_equiv_pos_as_xyz
'x,y,z'
'y,-x,-z'
'-x,-y,z'
'-y,x,-z'
'-x,y,z'
'-y,-x,-z'
'x,-y,z'
'y,x,-z'
loop_
_atom_site_label
_atom_site_type_symbol
_atom_site_fract_x
_atom_site_fract_y
_atom_site_fract_z
_atom_site_occupancy
Ce1 Ce 0.0000 0.5000 0.2223 1
Bi1 Bi 0.0000 0.0000 0.0000 1
Bi2 Bi 0.0000 0.5000 0.7056 1
Bi3 Bi 0.5000 0.5000 0.0000 1
Pb1 Pb 0.0000 0.0000 0.5000 1
```

=====

Going by the computed energies, the most stable comes first: run i, run ii.

=====

Run i
A geometry-optimized Ce4BiPb structure, computed with GGA-PBE.

## Properties
Crystal system = monoclinic
M_tot = 12.00 μB per cell

The structure in CIF format:
```
data_Ce4BiPb
_symmetry_space_group_name_H-M 'C 1 2/c 1'
_symmetry_Int_Tables_number 15
_cell_length_a 17.1761
_cell_length_b 5.6595
_cell_length_c 7.8442
_cell_angle_alpha 90.00
_cell_angle_beta 102.69
_cell_angle_gamma 90.00
loop_
_symmetry_equiv_pos_as_xyz
'x,y,z'
'-x,-y,-z'
'-x,y,-z+1/2'
'x,-y,z+1/2'
'x+1/2,y+1/2,z'
'-x+1/2,-y+1/2,-z'
'-x+1/2,y+1/2,-z+1/2'
'x+1/2,-y+1/2,z+1/2'
loop_
_atom_site_label
_atom_site_type_symbol
_atom_site_fract_x
_atom_site_fract_y
_atom_site_fract_z
_atom_site_occupancy
Ce1 Ce 0.0651 0.0939 0.4637 1
Ce2 Ce 0.1543 0.2884 0.0903 1
Bi1 Bi 0.0000 0.4141 0.7500 1
Pb1 Pb 0.2500 0.2500 0.5000 1
```

=====

Run ii
A geometry-optimized Ce4BiPb structure, computed with GGA-PBE.

## Properties
Crystal system = monoclinic
M_tot = 3.18 μB per cell

The structure in CIF format:
```
data_Ce4BiPb
_symmetry_space_group_name_H-M 'C 1 2/m 1'
_symmetry_Int_Tables_number 12
_cell_length_a 8.3332
_cell_length_b 9.5394
_cell_length_c 5.2154
_cell_angle_alpha 90.00
_cell_angle_beta 128.12
_cell_angle_gamma 90.00
loop_
_symmetry_equiv_pos_as_xyz
'x,y,z'
'-x,-y,-z'
'-x,y,-z'
'x,-y,z'
'x+1/2,y+1/2,z'
'-x+1/2,-y+1/2,-z'
'-x+1/2,y+1/2,-z'
'x+1/2,-y+1/2,z'
loop_
_atom_site_label
_atom_site_type_symbol
_atom_site_fract_x
_atom_site_fract_y
_atom_site_fract_z
_atom_site_occupancy
Ce1 Ce 0.2488 0.1777 0.2215 1
Bi1 Bi 0.0000 0.5000 0.0000 1
Pb1 Pb 0.0000 0.0000 0.5000 1
```

=====

Going by the computed energies, the most stable comes first: run i, run ii.